1.
A geometry-optimized Na4U3CdSe8 structure, computed with PBE.

The space group is R-3m (No. 166, hexagonal axes) and the conventional cell measures 8.2839, 8.2839 and 21.1461 Å, with angles of 90.00, 90.00 and 120.00 degrees. The asymmetric unit holds Na at (0.0000, 0.0000, 0.0000), Na at (0.0000, 0.5000, 0.0000), U at (0.0000, 0.5000, 0.5000), Cd at (0.0000, 0.0000, 0.5000), Se at (0.0000, 0.0000, 0.2445) and Se at (0.0014, 0.5007, 0.7561).

Its raw total energy is -256.75 eV per cell. Its magnetic moment is 23.91 Bohr magnetons per cell. The formation energy without anion corrections is -1.103 eV per atom.

---

2.
A geometry-optimized ReMoSe2 structure, computed with PBE.

The space group is Cmmm (No. 65) and the conventional cell measures 3.034, 5.569 and 8.161 Å, with angles of 90.00, 90.00 and 90.00 degrees. The asymmetric unit holds Re at (0.000, 0.000, 0.000), Mo at (0.000, 0.000, 0.500) and Se at (0.000, 0.500, 0.249).

Its raw total energy is -54.03 eV per cell. Its magnetic moment is 0.00 Bohr magnetons per cell. As for the energy above the most stable polymorph in this dataset: 885 meV/atom. The formation energy without anion corrections is 0.809 eV per atom.